The following is a DFT calculation (PBE with a Hubbard U) of an optimized crystal structure of MoRuO2F.

Geometry as CIF:
```
data_MoRuO2F
_chemical_formula_sum 'Mo1 Ru1 O2 F1'
_space_group_name_H-M_alt 'P 4/m m m'
_space_group_IT_number 123
_space_group_name_Hall '-P 4 2'
_cell_length_a 3.713
_cell_length_b 3.713
_cell_length_c 5.502
_cell_angle_alpha 90.00
_cell_angle_beta 90.00
_cell_angle_gamma 90.00
loop_
_atom_site_label
_atom_site_type_symbol
_atom_site_fract_x
_atom_site_fract_y
_atom_site_fract_z
Mo1 Mo 0.000 0.000 0.000
Ru1 Ru 0.500 0.500 0.500
O1 O 0.000 0.500 0.500
F1 F 0.500 0.500 0.000
```

total DFT energy (no corrections): -30.7 eV per cell
crystal system: tetragonal